Ag2Bi2Se5 after structural relaxation, computed with GGA-PBE.

Results
Total energy, eV per atom: -3.54
Magnetic moment, Bohr magnetons per cell: 0.000
D(E_F), states/eV per atom: 0.467
Uncorrected formation energy, eV/f.u.: -1.02

Unit cell a=4.234 b=8.606 c=7.284 alpha=94.86 beta=90.00 gamma=104.24
Fractional coordinates of all 9 atoms:
Se  0.682  0.365  0.075
Se  0.860  0.720  0.499
Se  0.318  0.635  0.925
Se  0.000  0.000  0.000
Se  0.140  0.280  0.501
Ag  0.148  0.296  0.865
Ag  0.852  0.704  0.135
Bi  0.560  0.120  0.304
Bi  0.440  0.880  0.696